## Li14CdBi (PBE-GGA)

Data for a relaxed structure of Li14CdBi.

Computed properties:
E	-2.121	eV/atom
energy relative to the elements	-147	meV per atom
volume	19.45	Å³ per atom
SG	P4/mmm, No. 123
total moment	0.00	Bohr magnetons per cell

abc: 6.8752 6.8752 6.5840
angles: 90.00 90.00 90.00
With the nearest neighbours (Å) after each atom.
Positions (direct):
Li 0.0000 0.0000 0.0000  8 Li 2.97, 2 Cd 3.29
Li 0.0000 0.5000 0.0000  10 Li 2.98-3.29
Li 0.0000 0.5000 0.5000  8 Li 2.89
Li 0.2490 0.2490 0.2617  1 Cd 2.88, 7 Li 2.89-3.14, 1 Bi 2.90
Li 0.2490 0.2490 0.7383  1 Cd 2.88, 7 Li 2.89-3.14, 1 Bi 2.90
Li 0.2490 0.7510 0.2617  1 Cd 2.88, 7 Li 2.89-3.14, 1 Bi 2.90
Li 0.2490 0.7510 0.7383  1 Cd 2.88, 7 Li 2.89-3.14, 1 Bi 2.90
Li 0.5000 0.0000 0.0000  10 Li 2.98-3.29
Li 0.5000 0.0000 0.5000  8 Li 2.89
Li 0.5000 0.5000 0.0000  8 Li 2.99, 2 Bi 3.29
Li 0.7510 0.2490 0.2617  1 Cd 2.88, 7 Li 2.89-3.14, 1 Bi 2.90
Li 0.7510 0.2490 0.7383  1 Cd 2.88, 7 Li 2.89-3.14, 1 Bi 2.90
Li 0.7510 0.7510 0.2617  1 Cd 2.88, 7 Li 2.89-3.14, 1 Bi 2.90
Li 0.7510 0.7510 0.7383  1 Cd 2.88, 7 Li 2.89-3.14, 1 Bi 2.90
Cd 0.0000 0.0000 0.5000  8 Li 2.88
Bi 0.5000 0.5000 0.5000  8 Li 2.90

## Li8Cd2Bi (PBE-GGA)

Data for a relaxed structure of Li8Cd2Bi.

Computed properties:
E	-2.202	eV/atom
energy relative to the elements	-291	meV per atom
volume	18.76	Å³ per atom
SG	C2/m, No. 12
total moment	0.00	Bohr magnetons per cell

abc: 8.2106 8.2106 5.5212
angles: 90.38 90.38 33.67
With the nearest neighbours (Å) after each atom.
Positions (direct):
Li 0.0458 0.0458 0.2387  5 Li 2.80-3.00, 1 Cd 2.84, 2 Bi 2.88
Li 0.1385 0.1385 0.6744  7 Li 2.80-2.95, 1 Cd 2.84
Li 0.3156 0.3156 0.5943  4 Li 2.80-2.90, 3 Cd 2.88-2.94, 1 Bi 2.95
Li 0.4051 0.4051 0.0354  6 Li 2.80-3.01, 1 Cd 2.93, 1 Bi 2.96
Li 0.5949 0.5949 0.9646  6 Li 2.80-3.01, 1 Cd 2.93, 1 Bi 2.96
Li 0.6844 0.6844 0.4057  4 Li 2.80-2.90, 3 Cd 2.88-2.94, 1 Bi 2.95
Li 0.8615 0.8615 0.3256  7 Li 2.80-2.95, 1 Cd 2.84
Li 0.9542 0.9542 0.7613  5 Li 2.80-3.00, 1 Cd 2.84, 2 Bi 2.88
Cd 0.2222 0.2222 0.1322  6 Li 2.84-2.94, 2 Cd 2.93
Cd 0.7778 0.7778 0.8678  6 Li 2.84-2.94, 2 Cd 2.93
Bi 0.5000 0.5000 0.5000  8 Li 2.88-2.96

## Na2LiCd2Bi2 (PBE-GGA)

Data for a relaxed structure of Na2LiCd2Bi2.

Computed properties:
E	-2.234	eV/atom
energy relative to the elements	-214	meV per atom
volume	26.16	Å³ per atom
SG	R-3m, No. 166
total moment	0.00	Bohr magnetons per cell

abc: 8.6303 8.6303 8.6303
angles: 34.41 34.41 34.41
With the nearest neighbours (Å) after each atom.
Positions (direct):
Na 0.1388 0.1388 0.1388  3 Cd 3.09, 3 Na 3.24, 1 Bi 3.35, 1 Li 3.38
Na 0.8612 0.8612 0.8612  3 Cd 3.09, 3 Na 3.24, 1 Bi 3.35, 1 Li 3.38
Li 0.0000 0.0000 0.0000  6 Bi 3.26, 2 Na 3.38
Cd 0.4336 0.4336 0.4336  3 Na 3.09, 3 Bi 3.13, 1 Cd 3.23
Cd 0.5664 0.5664 0.5664  3 Na 3.09, 3 Bi 3.13, 1 Cd 3.23
Bi 0.2764 0.2764 0.2764  3 Cd 3.13, 3 Li 3.26, 1 Na 3.35
Bi 0.7236 0.7236 0.7236  3 Cd 3.13, 3 Li 3.26, 1 Na 3.35

## LiNdCdBi (PBE-GGA)

Data for a relaxed structure of LiNdCdBi.

Computed properties:
E	-3.265	eV/atom
energy relative to the elements	-395	meV per atom
volume	26.78	Å³ per atom
SG	F-43m, No. 216
total moment	0.00	Bohr magnetons per cell

abc: 7.5388 7.5388 7.5388
angles: 90.00 90.00 90.00
With the nearest neighbours (Å) after each atom.
Positions (direct):
Li 0.0000 0.0000 0.0000  4 Cd 3.26, 4 Bi 3.26
Li 0.0000 0.5000 0.5000  4 Cd 3.26, 4 Bi 3.26
Li 0.5000 0.0000 0.5000  4 Cd 3.26, 4 Bi 3.26
Li 0.5000 0.5000 0.0000  4 Cd 3.26, 4 Bi 3.26
Nd 0.0000 0.0000 0.5000  4 Bi 3.26, 4 Cd 3.26
Nd 0.0000 0.5000 0.0000  4 Bi 3.26, 4 Cd 3.26
Nd 0.5000 0.0000 0.0000  4 Bi 3.26, 4 Cd 3.26
Nd 0.5000 0.5000 0.5000  4 Bi 3.26, 4 Cd 3.26
Cd 0.2500 0.2500 0.2500  4 Li 3.26, 4 Nd 3.26
Cd 0.2500 0.7500 0.7500  4 Li 3.26, 4 Nd 3.26
Cd 0.7500 0.2500 0.7500  4 Li 3.26, 4 Nd 3.26
Cd 0.7500 0.7500 0.2500  4 Li 3.26, 4 Nd 3.26
Bi 0.2500 0.2500 0.7500  4 Li 3.26, 4 Nd 3.26
Bi 0.2500 0.7500 0.2500  4 Li 3.26, 4 Nd 3.26
Bi 0.7500 0.2500 0.2500  4 Li 3.26, 4 Nd 3.26
Bi 0.7500 0.7500 0.7500  4 Nd 3.26, 4 Li 3.26

## Li2CdBiO4 (PBE-GGA)

Data for a relaxed structure of Li2CdBiO4.

Computed properties:
E	-4.850	eV/atom
volume	12.60	Å³ per atom
SG	C2/c, No. 15
uncorrected formation energy	-1293	meV per atom
total moment	0.66	Bohr magnetons per cell

abc: 6.5511 6.5511 6.5547
angles: 119.63 119.63 89.69
With the nearest neighbours (Å) after each atom.
Positions (direct):
Li 0.0000 0.0000 0.0000  6 O 2.24-2.35
Li 0.0000 0.0000 0.5000  6 O 2.24-2.35
Li 0.0000 0.5000 0.0000  6 O 2.33-2.38
Li 0.5000 0.0000 0.5000  6 O 2.33-2.38
Cd 0.5000 0.5000 0.0000  6 O 2.35-2.38
Cd 0.5000 0.5000 0.5000  6 O 2.35-2.38
Bi 0.0000 0.5000 0.5000  6 O 2.24-2.32
Bi 0.5000 0.0000 0.0000  6 O 2.24-2.32
O 0.2392 0.7552 0.9928  3 Li 2.24-2.38, 2 Bi 2.32, 1 Cd 2.38
O 0.2399 0.2547 0.4997  1 Bi 2.24, 3 Li 2.30-2.38, 2 Cd 2.35
O 0.2448 0.7608 0.5072  3 Li 2.24-2.38, 2 Bi 2.32, 1 Cd 2.38
O 0.2547 0.2399 0.9997  1 Bi 2.24, 3 Li 2.30-2.38, 2 Cd 2.35
O 0.7453 0.7601 0.0003  1 Bi 2.24, 3 Li 2.30-2.38, 2 Cd 2.35
O 0.7552 0.2392 0.4928  3 Li 2.24-2.38, 2 Bi 2.32, 1 Cd 2.38
O 0.7601 0.7453 0.5003  1 Bi 2.24, 3 Li 2.30-2.38, 2 Cd 2.35
O 0.7608 0.2448 0.0072  3 Li 2.24-2.38, 2 Bi 2.32, 1 Cd 2.38

## LiCdBiO4 (PBE-GGA)

Data for a relaxed structure of LiCdBiO4.

Computed properties:
E	-4.861	eV/atom
volume	14.51	Å³ per atom
SG	Cmcm, No. 63
uncorrected formation energy	-1069	meV per atom
total moment	0.00	Bohr magnetons per cell

abc: 5.7816 5.7816 6.7113
angles: 90.00 90.00 115.07
With the nearest neighbours (Å) after each atom.
Positions (direct):
Li 0.1520 0.8480 0.7500  4 O 1.96-2.09
Li 0.8480 0.1520 0.2500  4 O 1.96-2.09
Cd 0.5000 0.5000 0.0000  6 O 2.31-2.35
Cd 0.5000 0.5000 0.5000  6 O 2.31-2.35
Bi 0.1529 0.8471 0.2500  4 O 2.03-2.08
Bi 0.8471 0.1529 0.7500  4 O 2.03-2.08
O 0.2336 0.2365 0.7500  1 Bi 2.08, 1 Li 2.09
O 0.2365 0.2336 0.2500  1 Bi 2.08, 1 Li 2.09
O 0.2637 0.7363 0.5067  1 Li 1.96, 1 Bi 2.03
O 0.2637 0.7363 0.9933  1 Li 1.96, 1 Bi 2.03
O 0.7363 0.2637 0.0067  1 Li 1.96, 1 Bi 2.03
O 0.7363 0.2637 0.4933  1 Li 1.96, 1 Bi 2.03
O 0.7635 0.7664 0.7500  1 Bi 2.08, 1 Li 2.09
O 0.7664 0.7635 0.2500  1 Bi 2.08, 1 Li 2.09